[1]
First-principles (PBE) data for a relaxed Mn2SbI crystal, as listed in Alexandria via LeMat-Bulk.

abc: 4.5585 4.5585 4.5585
angles: 60.00 60.00 60.00
Fractional positions:
Mn 0.2500 0.2500 0.2500
Mn 0.7500 0.7500 0.7500
Sb 0.0000 0.0000 0.0000
I 0.5000 0.5000 0.5000

energy	-5.093	eV/atom
energy above the most stable polymorph in this dataset	0.00	eV/f.u.
E_form (uncorrected)	87.8	kJ/mol of atoms
spin magnetization	0.0	Bohr magnetons per cell

=====

[2]
First-principles (PBE) data for a relaxed SbMo2Cl crystal, as listed in Alexandria via LeMat-Bulk.

abc: 4.6838 4.6838 7.0604
angles: 81.39 81.39 40.43
Fractional positions:
Mo 0.7241 0.7241 0.8346
Cl 0.2781 0.2781 0.1283
Mo 0.0140 0.0140 0.9285
Sb 0.4838 0.4838 0.6086

energy	-6.614	eV/atom
energy above the most stable polymorph in this dataset	1.57	eV/f.u.
E_form (uncorrected)	28.4	kJ/mol of atoms
spin magnetization	0.0	Bohr magnetons per cell